# LaSc2AlPd4 | Alexandria via LeMat-Bulk | PBE | optimized geometry
# DOS(E_F)	15.0	states/eV per cell
# calculated formation energy	-849	meV/atom
data_LaSc2AlPd4
_chemical_formula_sum 'La3 Sc6 Al3 Pd12'
_cell_length_a 4.5731
_cell_length_b 4.5731
_cell_length_c 25.9792
_cell_angle_alpha 90.00
_cell_angle_beta 90.00
_cell_angle_gamma 120.00
_space_group_name_H-M_alt 'R -3 m'
_space_group_IT_number 166
_space_group_name_Hall '-R 3 2"'
loop_
_atom_site_label
_atom_site_type_symbol
_atom_site_fract_x
_atom_site_fract_y
_atom_site_fract_z
La1 La 0.0000 0.0000 0.0000
Sc1 Sc 0.0000 0.0000 0.2371
Al1 Al 0.0000 0.0000 0.5000
Pd1 Pd 0.0000 0.0000 0.1331
Pd2 Pd 0.0000 0.0000 0.4009

# Li4NdSn2Pd | Alexandria via LeMat-Bulk | PBE | optimized geometry
# DOS(E_F)	12.4	states/eV per cell
# calculated formation energy	-398	meV/atom
data_Li4NdSn2Pd
_chemical_formula_sum 'Li12 Nd3 Sn6 Pd3'
_cell_length_a 4.7363
_cell_length_b 4.7363
_cell_length_c 23.8005
_cell_angle_alpha 90.00
_cell_angle_beta 90.00
_cell_angle_gamma 120.00
_space_group_name_H-M_alt 'R -3 m'
_space_group_IT_number 166
_space_group_name_Hall '-R 3 2"'
loop_
_atom_site_label
_atom_site_type_symbol
_atom_site_fract_x
_atom_site_fract_y
_atom_site_fract_z
Li1 Li 0.0000 0.0000 0.1046
Li2 Li 0.0000 0.0000 0.3646
Nd1 Nd 0.0000 0.0000 0.5000
Sn1 Sn 0.0000 0.0000 0.2469
Pd1 Pd 0.0000 0.0000 0.0000

# AlIn2Sb | Alexandria via LeMat-Bulk | PBE | optimized geometry
# distance to the lowest polymorph of the same formula	0.0000	eV/atom
# DOS(E_F)	3.0	states/eV per cell
# formation energy from raw total energies	71.9	meV/atom
data_AlIn2Sb
_chemical_formula_sum 'Al2 In4 Sb2'
_cell_length_a 7.6237
_cell_length_b 3.2556
_cell_length_c 8.3883
_cell_angle_alpha 90.00
_cell_angle_beta 96.03
_cell_angle_gamma 90.00
_space_group_name_H-M_alt 'C 1 m 1'
_space_group_IT_number 8
loop_
_space_group_symop_operation_xyz
'x,y,z'
'x,-y,z'
'x+1/2,y+1/2,z'
'x+1/2,-y+1/2,z'
loop_
_atom_site_label
_atom_site_type_symbol
_atom_site_fract_x
_atom_site_fract_y
_atom_site_fract_z
Al1 Al 0.0000 0.0000 0.0000
In1 In 0.0045 0.5000 0.4892
In2 In 0.2594 0.0000 0.7643
Sb1 Sb 0.2368 0.5000 0.2076

# NaAgHg2F8 | Alexandria via LeMat-Bulk | PBE | optimized geometry
# formation energy from raw total energies	-1510.9	meV/atom
data_NaAgHg2F8
_chemical_formula_sum 'Na1 Ag1 Hg2 F8'
_cell_length_a 4.6659
_cell_length_b 5.6943
_cell_length_c 7.1739
_cell_angle_alpha 94.11
_cell_angle_beta 90.03
_cell_angle_gamma 90.06
_space_group_name_H-M_alt 'P -1'
_space_group_IT_number 2
loop_
_space_group_symop_operation_xyz
'x,y,z'
'-x,-y,-z'
loop_
_atom_site_label
_atom_site_type_symbol
_atom_site_fract_x
_atom_site_fract_y
_atom_site_fract_z
Na1 Na 0.0000 0.0000 0.0000
Ag1 Ag 0.0000 0.0000 0.5000
Hg1 Hg 0.4993 0.4975 0.2530
F1 F 0.0013 0.7635 0.6934
F2 F 0.0009 0.7712 0.2746
F3 F 0.4973 0.2462 0.0247
F4 F 0.4990 0.2476 0.5227